1.
DFT (PBEsol) results for crystalline HgPb3 at its relaxed geometry.

Calculated values
Space group: No. 65
Energy relative to the elements in meV per atom: 10
ρ in Mg/m³: 12.165

a b c (Å): 3.3755 5.9810 5.9810
angles (deg): 111.65 90.00 90.00
Closest atoms and distances in Å follow each position.
Fractional coordinates of all 4 atoms:
Hg 0.0000 0.0000 0.0000  10 Pb 3.36-3.43, 2 Hg 3.38
Pb 0.5000 0.0000 0.5000  8 Pb 3.36-3.43, 4 Hg 3.43
Pb 0.5000 0.5000 0.0000  8 Pb 3.36-3.43, 4 Hg 3.43
Pb 0.0000 0.5000 0.5000  2 Hg 3.36, 10 Pb 3.38-3.43

***

2.
DFT (PBEsol) results for crystalline HgPb4 at its relaxed geometry.

Calculated values
Space group: No. 139
Energy relative to the elements in meV per atom: 164
Relative energy among the computed polymorphs in eV/atom: 0.1650
ρ in Mg/m³: 10.801

a b c (Å): 4.4759 4.4759 8.5098
angles (deg): 105.25 105.25 90.00
Closest atoms and distances in Å follow each position.
Fractional coordinates of all 5 atoms:
Pb 0.5991 0.5991 0.1982  5 Pb 3.13-3.27
Pb 0.7500 0.2500 0.5000  8 Pb 3.16-3.27
Pb 0.4009 0.4009 0.8018  5 Pb 3.13-3.27
Pb 0.2500 0.7500 0.5000  8 Pb 3.16-3.27
Hg 0.0000 0.0000 0.0000  8 Pb 3.53

***

Calculated volume, 112; 158 Å³ per cell (same order as the records).
Calculated total magnetic moment, 0.000; 0.000 Bohr magnetons per cell (same order as the records).
Calculated calculated total energy, -3.131; -3.149 eV per atom (same order as the records).